This record from Alexandria via LeMat-Bulk describes a geometry-optimized CoAg2PN structure. The functional is PBE.

Results
* E_form (uncorrected): 98.2 kJ per mole of atoms

Unit cell a=4.9322 b=4.9322 c=3.3514 alpha=90.00 beta=90.00 gamma=90.00
With the nearest neighbours (Å) after each atom.
Space group P4/mmm (No. 123)
Asymmetric unit:
Co: 0.0000 0.0000 0.0000 x1  8 Ag 2.98
Ag: 0.0000 0.5000 0.5000 x2  2 P 2.47
P: 0.5000 0.5000 0.5000 x1  2 N 1.68
N: 0.5000 0.5000 0.0000 x1  2 P 1.68



This record from Alexandria via LeMat-Bulk describes a geometry-optimized CoAgRh2N structure. The functional is PBE.

Results
* E_form (uncorrected): 20.6 kJ per mole of atoms

Unit cell a=4.1180 b=4.1180 c=3.8251 alpha=90.00 beta=90.00 gamma=90.00
With the nearest neighbours (Å) after each atom.
Space group P4/mmm (No. 123)
Asymmetric unit:
Co: 0.0000 0.0000 0.0000 x1  2 N 1.91
Ag: 0.5000 0.5000 0.0000 x1  8 Rh 2.81, 4 Co 2.91
Rh: 0.0000 0.5000 0.5000 x2  2 N 2.06
N: 0.0000 0.0000 0.5000 x1  2 Co 1.91, 4 Rh 2.06